A plane-wave DFT calculation with GGA-PBE was carried out for SmGeRu after structural relaxation.

Cell: 3.9465 4.2890 4.2890 Å, 120.00 90.00 90.00°
With the nearest neighbours (Å) after each atom.
Positions (direct):
Ru (0.1668, 0.3333, 0.6667)  3 Ge 2.48
Ge (0.1667, 0.0000, 0.0000)  3 Ru 2.48
Sm (0.6666, 0.6667, 0.3333)  6 Ru 3.17, 6 Ge 3.17

Computed properties:
Calculated formation energy   -0.512 eV per atom

A plane-wave DFT calculation with GGA-PBE was carried out for Gd2PaSb after structural relaxation.

Cell: 4.5624 4.8191 4.8191 Å, 90.00 90.00 90.00°
With the nearest neighbours (Å) after each atom.
Positions (direct):
Gd (0.0000, 0.0000, 0.5000)  4 Pa 3.32, 4 Sb 3.32, 4 Gd 3.41
Gd (0.0000, 0.5000, 0.0000)  4 Pa 3.32, 4 Sb 3.32, 4 Gd 3.41
Sb (0.5000, 0.5000, 0.5000)  8 Gd 3.32, 4 Pa 3.41
Pa (0.5000, 0.0000, 0.0000)  8 Gd 3.32, 4 Sb 3.41

Computed properties:
Raw formation energy   -0.2941 eV per atom
Energy above the lowest structure with this stoichiometry   0.36 kcal/mol of atoms

A plane-wave DFT calculation with GGA-PBE was carried out for Dy2NiAg after structural relaxation.

Cell: 3.4627 3.4627 7.2258 Å, 90.00 90.00 90.00°
With the nearest neighbours (Å) after each atom.
Positions (direct):
Ni (0.5000, 0.5000, 0.0000)  8 Dy 2.94
Ag (0.5000, 0.5000, 0.5000)  8 Dy 3.15, 4 Ag 3.46
Dy (0.0000, 0.0000, 0.7736)  4 Ni 2.94, 4 Ag 3.15, 1 Dy 3.27
Dy (0.0000, 0.0000, 0.2264)  4 Ni 2.94, 4 Ag 3.15, 1 Dy 3.27

Computed properties:
Energy above the lowest structure with this stoichiometry   0.00 kcal/mol of atoms
Calculated formation energy   -0.351 eV per atom

A plane-wave DFT calculation with GGA-PBE was carried out for PmNd3Sc3 after structural relaxation.

Cell: 8.6632 8.6632 8.6632 Å, 58.35 58.35 58.35°
With the nearest neighbours (Å) after each atom.
Positions (direct):
Pm (0.3443, 0.3443, 0.3443)  6 Sc 3.51-3.71, 6 Nd 3.54-3.66
Pm (0.6557, 0.6557, 0.6557)  6 Sc 3.51-3.71, 6 Nd 3.54-3.66
Nd (0.7149, 0.5670, 0.0732)  4 Sc 3.28-3.53, 2 Nd 3.52, 2 Pm 3.54-3.66
Nd (0.0732, 0.7149, 0.5670)  4 Sc 3.28-3.53, 2 Nd 3.52, 2 Pm 3.54-3.66
Nd (0.5670, 0.0732, 0.7149)  4 Sc 3.28-3.53, 2 Nd 3.52, 2 Pm 3.54-3.66
Nd (0.4330, 0.9268, 0.2851)  4 Sc 3.28-3.53, 2 Nd 3.52, 2 Pm 3.54-3.66
Nd (0.9268, 0.2851, 0.4330)  4 Sc 3.28-3.53, 2 Nd 3.52, 2 Pm 3.54-3.66
Nd (0.2851, 0.4330, 0.9268)  4 Sc 3.28-3.53, 2 Nd 3.52, 2 Pm 3.54-3.66
Sc (0.7252, 0.1669, 0.9396)  4 Sc 3.05-3.23, 2 Nd 3.28-3.29
Sc (0.1669, 0.9396, 0.7252)  4 Sc 3.05-3.23, 2 Nd 3.28-3.29
Sc (0.9396, 0.7252, 0.1669)  4 Sc 3.05-3.23, 2 Nd 3.28-3.29
Sc (0.0604, 0.2748, 0.8330)  4 Sc 3.05-3.23, 2 Nd 3.28-3.29
Sc (0.8330, 0.0604, 0.2748)  4 Sc 3.05-3.23, 2 Nd 3.28-3.29
Sc (0.2748, 0.8330, 0.0604)  4 Sc 3.05-3.23, 2 Nd 3.28-3.29

Computed properties:
Calculated formation energy   0.179 eV per atom

A plane-wave DFT calculation with GGA-PBE was carried out for BeO after structural relaxation.

Cell: 2.7106 2.7106 4.4014 Å, 90.00 90.00 120.00°
With the nearest neighbours (Å) after each atom.
Positions (direct):
Be (0.6667, 0.3333, 0.0077)  4 O 1.65-1.66
Be (0.3333, 0.6667, 0.5077)  4 O 1.65-1.66
O (0.6667, 0.3333, 0.3857)  4 Be 1.65-1.66
O (0.3333, 0.6667, 0.8857)  4 Be 1.65-1.66

Computed properties:
Raw formation energy   -2.7603 eV per atom
Energy above the lowest structure with this stoichiometry   0.00 kcal/mol of atoms

A plane-wave DFT calculation with GGA-PBE was carried out for SmMoC after structural relaxation.

Cell: 4.5014 3.6477 3.6477 Å, 120.00 90.00 90.00°
With the nearest neighbours (Å) after each atom.
Positions (direct):
Mo (0.1667, 0.3333, 0.6667)  3 C 2.11
C (0.1668, 0.0000, 0.0000)  3 Mo 2.11
Sm (0.6665, 0.6667, 0.3333)  6 C 3.08, 6 Mo 3.08

Computed properties:
Energy above the lowest structure with this stoichiometry   2.69 kcal/mol of atoms
Calculated formation energy   0.284 eV per atom

A plane-wave DFT calculation with GGA-PBE was carried out for Tm8ZnGa3Te4 after structural relaxation.

Cell: 8.0753 8.8329 8.0747 Å, 117.19 120.00 90.00°
With the nearest neighbours (Å) after each atom.
Positions (direct):
Tm (0.2449, 0.7339, 0.9891)  2 Ga 2.92, 1 Zn 2.92, 3 Te 3.07
Tm (0.2449, 0.7339, 0.4898)  2 Ga 2.92, 1 Zn 2.92, 3 Te 3.07
Tm (0.2560, 0.2681, 0.5120)  3 Ga 2.91, 3 Te 3.08
Tm (0.7441, 0.7339, 0.9891)  2 Ga 2.92, 1 Zn 2.92, 3 Te 3.07
Tm (0.2559, 0.2661, 0.0109)  2 Ga 2.92, 1 Zn 2.92, 3 Te 3.07
Tm (0.7440, 0.7319, 0.4880)  3 Ga 2.91, 3 Te 3.08
Tm (0.7551, 0.2661, 0.5102)  2 Ga 2.92, 1 Zn 2.92, 3 Te 3.07
Tm (0.7551, 0.2661, 0.0109)  2 Ga 2.92, 1 Zn 2.92, 3 Te 3.07
Zn (0.0000, 0.5000, 0.0000)  6 Tm 2.92
Ga (0.5000, 0.5000, 0.0000)  6 Tm 2.91-2.92
Ga (0.5000, 0.5000, 0.5000)  6 Tm 2.91-2.92
Ga (0.0000, 0.5000, 0.5000)  6 Tm 2.91-2.92
Te (0.5000, 0.0000, 0.0000)  6 Tm 3.07
Te (0.5000, 0.0000, 0.5000)  6 Tm 3.07-3.08
Te (0.0000, 0.0000, 0.0000)  6 Tm 3.07-3.08
Te (0.0000, 0.0000, 0.5000)  6 Tm 3.07-3.08

Computed properties:
Raw formation energy   -0.8381 eV per atom

A plane-wave DFT calculation with GGA-PBE was carried out for Li2Pm2SmIn2 after structural relaxation.

Cell: 4.9348 4.9348 9.3312 Å, 74.67 74.67 60.00°
With the nearest neighbours (Å) after each atom.
Positions (direct):
Li (0.6063, 0.6063, 0.1811)  3 In 2.86
Li (0.3937, 0.3937, 0.8189)  3 In 2.86
Pm (0.1275, 0.1275, 0.6176)  3 In 3.24, 3 Li 3.36, 1 Sm 3.40, 3 Pm 3.53
Pm (0.8725, 0.8725, 0.3824)  3 In 3.24, 3 Li 3.36, 1 Sm 3.40, 3 Pm 3.53
Sm (0.0000, 0.0000, 0.0000)  6 Li 3.27, 2 Pm 3.40, 6 In 3.40
In (0.7361, 0.7361, 0.7916)  3 Li 2.86
In (0.2639, 0.2639, 0.2084)  3 Li 2.86

Computed properties:
Calculated formation energy   -0.246 eV per atom

A plane-wave DFT calculation with GGA-PBE was carried out for VGeAsBr after structural relaxation.

Cell: 3.2309 3.5218 16.1572 Å, 90.00 101.43 90.00°
With the nearest neighbours (Å) after each atom.
Positions (direct):
As (0.3224, 0.0000, 0.6198)  4 V 2.56-2.57, 2 Ge 2.57
As (0.3224, 0.5000, 0.1198)  4 V 2.56-2.57, 2 Ge 2.57
Ge (0.2287, 0.0000, 0.0021)  2 As 2.57
Ge (0.2287, 0.5000, 0.5021)  2 As 2.57
Br (0.5005, 0.0000, 0.3010)  2 V 2.52-2.53
Br (0.5005, 0.5000, 0.8010)  2 V 2.52-2.53
V (0.8784, 0.0000, 0.1786)  2 Br 2.52-2.53, 4 As 2.56-2.57
V (0.8784, 0.5000, 0.6786)  2 Br 2.52-2.53, 4 As 2.56-2.57

Computed properties:
Raw formation energy   -0.1742 eV per atom
Energy above the lowest structure with this stoichiometry   0.57 kcal/mol of atoms

A plane-wave DFT calculation with GGA-PBE was carried out for ScPaAlV after structural relaxation.

Cell: 4.7604 4.7604 4.7604 Å, 60.00 60.00 60.00°
With the nearest neighbours (Å) after each atom.
Positions (direct):
Sc (0.5000, 0.5000, 0.5000)  4 Pa 2.92, 4 Al 2.92
Pa (0.7500, 0.7500, 0.7500)  4 Sc 2.92, 4 V 2.92
Al (0.2500, 0.2500, 0.2500)  4 V 2.92, 4 Sc 2.92
V (0.0000, 0.0000, 0.0000)  4 Pa 2.92, 4 Al 2.92

Computed properties:
Calculated formation energy   0.015 eV per atom

A plane-wave DFT calculation with GGA-PBE was carried out for LiTc2P after structural relaxation.

Cell: 4.0456 4.0453 3.0338 Å, 90.00 90.00 90.00°
With the nearest neighbours (Å) after each atom.
Positions (direct):
Li (0.5000, 0.0000, 0.5000)  8 Tc 2.53
P (0.0000, 0.5000, 0.5000)  8 Tc 2.53
Tc (0.0000, 0.0000, 0.0000)  4 P 2.53, 4 Li 2.53
Tc (0.5000, 0.5000, 0.0000)  4 Li 2.53, 4 P 2.53

Computed properties:
Calculated formation energy   -0.024 eV per atom

A plane-wave DFT calculation with GGA-PBE was carried out for KLi2Cu after structural relaxation.

Cell: 4.5767 4.5767 6.6600 Å, 70.13 70.13 59.68°
With the nearest neighbours (Å) after each atom.
Positions (direct):
Cu (0.5676, 0.5676, 0.2933)  6 Li 2.64-2.76
K (0.7582, 0.7582, 0.7338)  4 Cu 3.43-3.79, 7 Li 3.47-3.76
Li (0.9431, 0.9431, 0.1678)  3 Cu 2.74-2.76, 3 Li 2.77
Li (0.2310, 0.2310, 0.3051)  3 Cu 2.64, 3 Li 2.77

Computed properties:
Energy above the lowest structure with this stoichiometry   0.04 kcal/mol of atoms
Calculated formation energy   0.168 eV per atom

A plane-wave DFT calculation with GGA-PBE was carried out for RbCa2HfPb after structural relaxation.

Cell: 6.1575 5.7224 6.1575 Å, 90.00 90.00 90.00°
With the nearest neighbours (Å) after each atom.
Positions (direct):
Pb (0.0000, 0.5000, 0.0000)  2 Hf 2.86
Ca (0.0000, 0.0000, 0.5000)  2 Hf 3.08
Ca (0.5000, 0.0000, 0.0000)  2 Hf 3.08
Hf (0.0000, 0.0000, 0.0000)  2 Pb 2.86, 4 Ca 3.08
Rb (0.5000, 0.5000, 0.5000)  8 Ca 4.20, 4 Pb 4.35

Computed properties:
Calculated formation energy   0.454 eV per atom

A plane-wave DFT calculation with GGA-PBE was carried out for Pm3Nd2Sm5 after structural relaxation.

Cell: 9.5602 9.5672 11.3294 Å, 124.87 124.85 69.25°
With the nearest neighbours (Å) after each atom.
Positions (direct):
Pm (0.2296, 0.9796, 0.9591)  4 Nd 3.36-3.54, 3 Sm 3.40-3.62, 2 Pm 3.50
Pm (0.7704, 0.0204, 0.0409)  4 Nd 3.36-3.54, 3 Sm 3.40-3.62, 2 Pm 3.50
Pm (0.7332, 0.4657, 0.2459)  1 Nd 3.20, 4 Sm 3.36-3.53, 1 Pm 3.50
Pm (0.2668, 0.5343, 0.7541)  1 Nd 3.20, 4 Sm 3.36-3.53, 1 Pm 3.50
Pm (0.0127, 0.7802, 0.2459)  1 Nd 3.20, 4 Sm 3.36-3.53, 1 Pm 3.50
Pm (0.9873, 0.2198, 0.7541)  1 Nd 3.20, 4 Sm 3.36-3.53, 1 Pm 3.50
Nd (0.7789, 0.0122, 0.7444)  3 Pm 3.20-3.54, 3 Sm 3.38-3.50
Nd (0.2211, 0.9878, 0.2556)  3 Pm 3.20-3.54, 3 Sm 3.38-3.50
Nd (0.4655, 0.7322, 0.7444)  3 Pm 3.20-3.54, 3 Sm 3.38-3.50
Nd (0.5345, 0.2678, 0.2556)  3 Pm 3.20-3.54, 3 Sm 3.38-3.50
Sm (0.2772, 0.5272, 0.0544)  1 Sm 3.19, 2 Pm 3.39
Sm (0.7228, 0.4728, 0.9456)  1 Sm 3.19, 2 Pm 3.39
Sm (0.0207, 0.7707, 0.5415)  5 Pm 3.36-3.53, 2 Nd 3.49, 2 Sm 3.61
Sm (0.5273, 0.2773, 0.5546)  1 Sm 3.19, 2 Nd 3.38
Sm (0.9793, 0.2293, 0.4585)  5 Pm 3.36-3.53, 2 Nd 3.49, 2 Sm 3.61
Sm (0.4727, 0.7227, 0.4454)  1 Sm 3.19, 2 Nd 3.38
Sm (0.8595, 0.6079, 0.7500)  3 Pm 3.49-3.68, 2 Nd 3.50-3.70, 3 Sm 3.61-3.70
Sm (0.1405, 0.3921, 0.2500)  3 Pm 3.49-3.68, 2 Nd 3.50-3.70, 3 Sm 3.61-3.70
Sm (0.3906, 0.1422, 0.7500)  3 Pm 3.49-3.68, 2 Nd 3.50-3.70, 3 Sm 3.61-3.70
Sm (0.6094, 0.8578, 0.2500)  3 Pm 3.49-3.68, 2 Nd 3.50-3.70, 3 Sm 3.61-3.70

Computed properties:
Energy above the lowest structure with this stoichiometry   0.00 kcal/mol of atoms
Calculated formation energy   0.181 eV per atom

A plane-wave DFT calculation with GGA-PBE was carried out for MgScTlSn after structural relaxation.

Cell: 5.1319 5.1319 5.1319 Å, 60.00 60.00 60.00°
With the nearest neighbours (Å) after each atom.
Positions (direct):
Sc (0.5000, 0.5000, 0.5000)  4 Tl 3.14, 4 Sn 3.14
Tl (0.7500, 0.7500, 0.7500)  4 Sc 3.14, 4 Mg 3.14
Mg (0.0000, 0.0000, 0.0000)  4 Sn 3.14, 4 Tl 3.14
Sn (0.2500, 0.2500, 0.2500)  4 Mg 3.14, 4 Sc 3.14

Computed properties:
Calculated formation energy   -0.163 eV per atom

A plane-wave DFT calculation with GGA-PBE was carried out for Pr3Mg2Au4 after structural relaxation.

Cell: 4.5891 5.7189 9.3556 Å, 93.43 90.00 113.65°
With the nearest neighbours (Å) after each atom.
Positions (direct):
Pr (0.3743, 0.7486, 0.6120)  6 Au 3.01-3.32
Pr (0.0000, 0.0000, 0.0000)  6 Au 3.17-3.28
Pr (0.6257, 0.2514, 0.3880)  6 Au 3.01-3.32
Mg (0.3204, 0.6409, 0.2172)  5 Au 2.80-2.87
Mg (0.6796, 0.3591, 0.7828)  5 Au 2.80-2.87
Au (0.7009, 0.4019, 0.0825)  3 Mg 2.80-2.87, 2 Au 2.99, 1 Pr 3.01
Au (0.0831, 0.1663, 0.6369)  2 Mg 2.82, 1 Au 3.00, 1 Pr 3.07
Au (0.9169, 0.8337, 0.3631)  2 Mg 2.82, 1 Au 3.00, 1 Pr 3.07
Au (0.2991, 0.5981, 0.9175)  3 Mg 2.80-2.87, 2 Au 2.99, 1 Pr 3.01

Computed properties:
Energy above the lowest structure with this stoichiometry   0.43 kcal/mol of atoms
Calculated formation energy   -0.662 eV per atom

A plane-wave DFT calculation with GGA-PBE was carried out for LiNdEuOs after structural relaxation.

Cell: 5.0428 5.0428 5.0428 Å, 60.00 60.00 60.00°
With the nearest neighbours (Å) after each atom.
Positions (direct):
Eu (0.7500, 0.7500, 0.7500)  4 Li 3.09, 4 Os 3.09
Nd (0.2500, 0.2500, 0.2500)  4 Os 3.09, 4 Li 3.09
Os (0.5000, 0.5000, 0.5000)  4 Eu 3.09, 4 Nd 3.09
Li (0.0000, 0.0000, 0.0000)  4 Nd 3.09, 4 Eu 3.09

Computed properties:
Calculated formation energy   0.059 eV per atom

A plane-wave DFT calculation with GGA-PBE was carried out for NaMgNb after structural relaxation.

Cell: 5.3470 5.3470 5.4779 Å, 90.00 90.00 120.00°
With the nearest neighbours (Å) after each atom.
Positions (direct):
Na (0.6667, 0.3333, 0.0000)  2 Na 2.74
Na (0.6667, 0.3333, 0.5000)  2 Na 2.74
Nb (0.0000, 0.0000, 0.2826)  1 Nb 2.38
Nb (0.0000, 0.0000, 0.7174)  1 Nb 2.38
Mg (0.3333, 0.6667, 0.2533)  2 Mg 2.70-2.77
Mg (0.3333, 0.6667, 0.7467)  2 Mg 2.70-2.77

Computed properties:
Energy above the lowest structure with this stoichiometry   13.78 kcal/mol of atoms
Calculated formation energy   0.775 eV per atom

A plane-wave DFT calculation with GGA-PBE was carried out for FeMo2Se after structural relaxation.

Cell: 5.1018 5.1018 5.1018 Å, 144.06 129.58 63.47°
With the nearest neighbours (Å) after each atom.
Positions (direct):
Fe (0.2500, 0.7500, 0.5000)  4 Se 2.68, 8 Mo 2.77-2.99
Mo (0.9869, 0.9869, 0.0000)  2 Se 2.59, 4 Mo 2.69, 2 Fe 2.77
Mo (0.5131, 0.5131, 0.0000)  2 Se 2.59, 4 Mo 2.69, 2 Fe 2.77
Se (0.7500, 0.2500, 0.5000)  4 Mo 2.59, 4 Fe 2.68

Computed properties:
Raw formation energy   0.3115 eV per atom

A plane-wave DFT calculation with GGA-PBE was carried out for NdSi2Ni2 after structural relaxation.

Cell: 5.6027 5.6027 5.6027 Å, 137.58 137.58 61.55°
With the nearest neighbours (Å) after each atom.
Positions (direct):
Nd (0.0000, 0.0000, 0.0000)  8 Si 3.13, 8 Ni 3.15
Si (0.6302, 0.6302, 0.0000)  4 Ni 2.33, 1 Si 2.51
Si (0.3698, 0.3698, 0.0000)  4 Ni 2.33, 1 Si 2.51
Ni (0.2500, 0.7500, 0.5000)  4 Si 2.33
Ni (0.7500, 0.2500, 0.5000)  4 Si 2.33

Computed properties:
Raw formation energy   -0.8107 eV per atom